[1]
A PBEsol-optimized structure of KTa2IrSe. Source: Alexandria via LeMat-Bulk, functional SCAN.

**Total energy**: -225.0 eV per cell
**Energy relative to the elements, uncorrected**: 1.530 eV per atom

a b c (Å): 4.686 4.686 5.113
angles (deg): 90.00 90.00 90.00
Space group P4/mmm (No. 123)
Inequivalent atoms, fractional coordinates:
1 K 0.000 0.000 0.000 (multiplicity 1)
2 Ta 0.000 0.500 0.500 (multiplicity 2)
3 Ir 0.500 0.500 0.000 (multiplicity 1)
4 Se 0.000 0.000 0.500 (multiplicity 1)

[2]
A PBEsol-optimized structure of K2SiIr. Source: Alexandria via LeMat-Bulk, functional SCAN.

**Total energy**: -190.3 eV per cell
**Energy relative to the elements, uncorrected**: 0.655 eV per atom

a b c (Å): 3.841 3.841 10.750
angles (deg): 90.00 90.00 90.00
Space group I4/mmm (No. 139)
Inequivalent atoms, fractional coordinates:
1 K 0.000 0.500 0.250 (multiplicity 4)
2 Si 0.000 0.000 0.000 (multiplicity 2)
3 Ir 0.000 0.000 0.500 (multiplicity 2)

[3]
A PBEsol-optimized structure of K2SiIr. Source: Alexandria via LeMat-Bulk, functional SCAN.

**Total energy**: -190.4 eV per cell
**Energy relative to the elements, uncorrected**: 0.640 eV per atom

a b c (Å): 5.031 10.733 3.176
angles (deg): 90.00 103.96 90.00
Space group C2/m (No. 12)
Inequivalent atoms, fractional coordinates:
1 K 0.250 0.250 0.000 (multiplicity 4)
2 Si 0.000 0.000 0.500 (multiplicity 2)
3 Ir 0.000 0.500 0.500 (multiplicity 2)

[4]
A PBEsol-optimized structure of K2SiIr. Source: Alexandria via LeMat-Bulk, functional SCAN.

**Total energy**: -97.7 eV per cell
**Energy relative to the elements, uncorrected**: 0.023 eV per atom

a b c (Å): 3.179 3.179 10.209
angles (deg): 90.00 90.00 90.00
Space group P4mm (No. 99)
Inequivalent atoms, fractional coordinates:
1 K 0.000 0.000 0.000 (multiplicity 1)
2 K 0.500 0.500 0.425 (multiplicity 1)
3 Si 0.000 0.000 0.664 (multiplicity 1)
4 Ir 0.500 0.500 0.762 (multiplicity 1)

[5]
A PBEsol-optimized structure of KSiIr3. Source: Alexandria via LeMat-Bulk, functional SCAN.

**Total energy**: -228.3 eV per cell
**Energy relative to the elements, uncorrected**: 0.676 eV per atom

a b c (Å): 4.506 4.506 4.506
angles (deg): 90.00 90.00 90.00
Space group Pm-3m (No. 221)
Inequivalent atoms, fractional coordinates:
1 K 0.000 0.000 0.000 (multiplicity 1)
2 Si 0.500 0.500 0.500 (multiplicity 1)
3 Ir 0.000 0.500 0.500 (multiplicity 3)

[6]
A PBEsol-optimized structure of KSi2Ir. Source: Alexandria via LeMat-Bulk, functional SCAN.

**Total energy**: -192.0 eV per cell
**Energy relative to the elements, uncorrected**: 0.860 eV per atom

a b c (Å): 5.652 9.126 2.621
angles (deg): 90.00 90.00 90.00
Space group Cmmm (No. 65)
Inequivalent atoms, fractional coordinates:
1 K 0.000 0.000 0.000 (multiplicity 2)
2 Si 0.250 0.250 0.500 (multiplicity 4)
3 Ir 0.000 0.500 0.000 (multiplicity 2)

[7]
A PBEsol-optimized structure of KZrSiIr2. Source: Alexandria via LeMat-Bulk, functional SCAN.

**Total energy**: -187.9 eV per cell
**Energy relative to the elements, uncorrected**: 0.665 eV per atom

a b c (Å): 4.441 4.441 5.008
angles (deg): 90.00 90.00 90.00
Space group P4/mmm (No. 123)
Inequivalent atoms, fractional coordinates:
1 K 0.000 0.000 0.000 (multiplicity 1)
2 Zr 0.500 0.500 0.000 (multiplicity 1)
3 Si 0.000 0.000 0.500 (multiplicity 1)
4 Ir 0.000 0.500 0.500 (multiplicity 2)

[8]
A PBEsol-optimized structure of KSn2Ir2. Source: Alexandria via LeMat-Bulk, functional SCAN.

**Total energy**: -446.4 eV per cell
**ΔH_f (0 K)**: -0.163 eV/atom

a b c (Å): 4.338 4.338 11.898
angles (deg): 90.00 90.00 90.00
Space group I4/mmm (No. 139)
Inequivalent atoms, fractional coordinates:
1 K 0.000 0.000 0.000 (multiplicity 2)
2 Sn 0.000 0.000 0.371 (multiplicity 4)
3 Ir 0.000 0.500 0.250 (multiplicity 4)

[9]
A PBEsol-optimized structure of K2SnIr. Source: Alexandria via LeMat-Bulk, functional SCAN.

**Total energy**: -480.1 eV per cell
**ΔH_f (0 K)**: 0.912 eV/atom

a b c (Å): 7.489 7.489 7.489
angles (deg): 90.00 90.00 90.00
Space group Fm-3m (No. 225)
Inequivalent atoms, fractional coordinates:
1 K 0.250 0.250 0.250 (multiplicity 8)
2 Sn 0.000 0.000 0.000 (multiplicity 4)
3 Ir 0.000 0.000 0.500 (multiplicity 4)

[10]
A PBEsol-optimized structure of K2SrIr. Source: Alexandria via LeMat-Bulk, functional SCAN.

**Energy relative to the lowest polymorph listed for this composition**: 215 meV per atom
**Total energy**: -107.8 eV per cell
**ΔH_f (0 K)**: 0.550 eV/atom

a b c (Å): 4.548 4.548 5.729
angles (deg): 90.00 90.00 90.00
Space group P4/mmm (No. 123)
Inequivalent atoms, fractional coordinates:
1 K 0.000 0.500 0.000 (multiplicity 2)
2 Sr 0.000 0.000 0.500 (multiplicity 1)
3 Ir 0.500 0.500 0.500 (multiplicity 1)

[11]
A PBEsol-optimized structure of KSrIr2. Source: Alexandria via LeMat-Bulk, functional SCAN.

**Total energy**: -509.3 eV per cell
**ΔH_f (0 K)**: 0.757 eV/atom

a b c (Å): 2.9859 2.9859 30.5527
angles (deg): 90.00 90.00 120.00
Space group R-3m (No. 166, hexagonal axes)
Inequivalent atoms, fractional coordinates:
1 K 0.0000 0.0000 0.0000 (multiplicity 3)
2 Sr 0.0000 0.0000 0.5000 (multiplicity 3)
3 Ir 0.0000 0.0000 0.2458 (multiplicity 6)

[12]
A PBEsol-optimized structure of K2SrIr. Source: Alexandria via LeMat-Bulk, functional SCAN.

**Energy relative to the lowest polymorph listed for this composition**: 712 meV per atom
**Total energy**: -317.5 eV per cell
**ΔH_f (0 K)**: 1.047 eV/atom

a b c (Å): 3.5244 3.5244 38.6074
angles (deg): 90.00 90.00 120.00
Space group R-3m (No. 166, hexagonal axes)
Inequivalent atoms, fractional coordinates:
1 K 0.0000 0.0000 0.2275 (multiplicity 6)
2 Sr 0.0000 0.0000 0.0000 (multiplicity 3)
3 Ir 0.0000 0.0000 0.5000 (multiplicity 3)

[13]
A PBEsol-optimized structure of KSr2Ir2. Source: Alexandria via LeMat-Bulk, functional SCAN.

**Total energy**: -387.1 eV per cell
**ΔH_f (0 K)**: 0.310 eV/atom

a b c (Å): 5.409 5.409 10.174
angles (deg): 90.00 90.00 90.00
Space group I4/mmm (No. 139)
Inequivalent atoms, fractional coordinates:
1 K 0.000 0.000 0.000 (multiplicity 2)
2 Sr 0.000 0.500 0.250 (multiplicity 4)
3 Ir 0.000 0.000 0.381 (multiplicity 4)

[14]
A PBEsol-optimized structure of K2SrIr. Source: Alexandria via LeMat-Bulk, functional SCAN.

**Energy relative to the lowest polymorph listed for this composition**: 146 meV per atom
**Total energy**: -432.4 eV per cell
**ΔH_f (0 K)**: 0.480 eV/atom

a b c (Å): 7.679 7.679 7.679
angles (deg): 90.00 90.00 90.00
Space group F-43m (No. 216)
Inequivalent atoms, fractional coordinates:
1 K 0.000 0.000 0.000 (multiplicity 4)
2 K 0.250 0.250 0.250 (multiplicity 4)
3 Sr 0.250 0.250 0.750 (multiplicity 4)
4 Ir 0.000 0.000 0.500 (multiplicity 4)

[15]
A PBEsol-optimized structure of KSrIr3. Source: Alexandria via LeMat-Bulk, functional SCAN.

**Total energy**: -231.6 eV per cell
**ΔH_f (0 K)**: 2.455 eV/atom

a b c (Å): 4.781 4.781 4.781
angles (deg): 90.00 90.00 90.00
Space group Pm-3m (No. 221)
Inequivalent atoms, fractional coordinates:
1 K 0.000 0.000 0.000 (multiplicity 1)
2 Sr 0.500 0.500 0.500 (multiplicity 1)
3 Ir 0.000 0.000 0.500 (multiplicity 3)